No. 1
La7Os: relaxed, PBE.

Cell lengths 7.0322, 7.0322, 7.0322 Å; angles 60.00, 60.00, 60.00 degrees
Last column: nearest neighbours and their distance in Å.
Element x y z (fractional)
La (0.0000, 0.0000, 0.5000)  10 La 3.52, 2 Os 3.52
La (0.5000, 0.0000, 0.5000)  10 La 3.52, 2 Os 3.52
La (0.0000, 0.5000, 0.5000)  10 La 3.52, 2 Os 3.52
La (0.5000, 0.5000, 0.0000)  10 La 3.52, 2 Os 3.52
La (0.0000, 0.5000, 0.0000)  10 La 3.52, 2 Os 3.52
La (0.5000, 0.0000, 0.0000)  10 La 3.52, 2 Os 3.52
La (0.5000, 0.5000, 0.5000)  12 La 3.52
Os (0.0000, 0.0000, 0.0000)  12 La 3.52

Values from the calculation:
Calculated total energy   -5.47 eV per atom

---

No. 2
LaOs3: relaxed, PBE.

Cell lengths 2.8405, 2.8405, 9.9520 Å; angles 90.00, 90.00, 120.00 degrees
Last column: nearest neighbours and their distance in Å.
Element x y z (fractional)
La (0.0000, 0.0000, 0.0000)  6 La 2.84
Os (0.0000, 0.0000, 0.5000)  12 Os 2.65-2.84
Os (0.3333, 0.6667, 0.2906)  9 Os 2.65-2.84
Os (0.3333, 0.6667, 0.7094)  9 Os 2.65-2.84

Values from the calculation:
Calculated total energy   -9.17 eV per atom

---

No. 3
La5Os2: relaxed, PBE.

Cell lengths 6.7689, 7.4375, 9.0366 Å; angles 95.27, 112.00, 90.00 degrees
Last column: nearest neighbours and their distance in Å.
Element x y z (fractional)
La (0.2009, 0.4064, 0.1834)  2 Os 2.78-2.95
La (0.0175, 0.0936, 0.8166)  2 Os 2.78-2.95
La (0.2120, 0.6796, 0.5690)  2 Os 2.87-3.09
La (0.6431, 0.8204, 0.4310)  2 Os 2.87-3.09
La (0.7880, 0.3204, 0.4310)  2 Os 2.87-3.09
La (0.3569, 0.1796, 0.5690)  2 Os 2.87-3.09
La (0.9825, 0.9064, 0.1834)  2 Os 2.78-2.95
La (0.7991, 0.5936, 0.8166)  2 Os 2.78-2.95
La (0.5742, 0.2500, 0.0000)  4 Os 3.05-3.07
La (0.4258, 0.7500, 0.0000)  4 Os 3.05-3.07
Os (0.1746, 0.4250, 0.7787)  6 La 2.78-3.09
Os (0.3959, 0.0750, 0.2213)  6 La 2.78-3.09
Os (0.8254, 0.5750, 0.2213)  6 La 2.78-3.09
Os (0.6041, 0.9250, 0.7787)  6 La 2.78-3.09

Values from the calculation:
Calculated total energy   -6.91 eV per atom